Record 1
# PBE-GGA Y4SbPt, optimized geometry
# ΔE to the lowest computed polymorph = 1.012 eV per atom
data_Y4SbPt
_chemical_formula_sum 'Y16 Sb4 Pt4'
_symmetry_space_group_name_H-M 'F -4 3 m'
_symmetry_Int_Tables_number 216
_symmetry_space_group_name_Hall 'F -4 2 3'
_cell_length_a 8.636
_cell_length_b 8.636
_cell_length_c 8.636
_cell_angle_alpha 90.00
_cell_angle_beta 90.00
_cell_angle_gamma 90.00
loop_
_atom_site_label
_atom_site_type_symbol
_atom_site_fract_x
_atom_site_fract_y
_atom_site_fract_z
Y1 Y 0.125 0.125 0.125
Sb1 Sb 0.000 0.000 0.500
Pt1 Pt 0.250 0.250 0.750

---

Record 2
# PBE-GGA YSb2Pt, optimized geometry
# final energy = -5.626 eV/atom
data_YSb2Pt
_chemical_formula_sum 'Y2 Sb4 Pt2'
_symmetry_space_group_name_H-M 'I 4/m m m'
_symmetry_Int_Tables_number 139
_symmetry_space_group_name_Hall '-I 4 2'
_cell_length_a 4.314
_cell_length_b 4.314
_cell_length_c 10.168
_cell_angle_alpha 90.00
_cell_angle_beta 90.00
_cell_angle_gamma 90.00
loop_
_atom_site_label
_atom_site_type_symbol
_atom_site_fract_x
_atom_site_fract_y
_atom_site_fract_z
Y1 Y 0.000 0.000 0.000
Sb1 Sb 0.000 0.500 0.250
Pt1 Pt 0.000 0.000 0.500

---

Record 3
# PBE-GGA YSb2Pt, optimized geometry
# final energy = -5.765 eV/atom
data_YSb2Pt
_chemical_formula_sum 'Y1 Sb2 Pt1'
_symmetry_space_group_name_H-M 'P 4 m m'
_symmetry_Int_Tables_number 99
_cell_length_a 3.939
_cell_length_b 3.939
_cell_length_c 6.134
_cell_angle_alpha 90.00
_cell_angle_beta 90.00
_cell_angle_gamma 90.00
loop_
_symmetry_equiv_pos_as_xyz
'x,y,z'
'-y,x,z'
'-x,-y,z'
'y,-x,z'
'-x,y,z'
'y,x,z'
'x,-y,z'
'-y,-x,z'
loop_
_atom_site_label
_atom_site_type_symbol
_atom_site_fract_x
_atom_site_fract_y
_atom_site_fract_z
Y1 Y 0.000 0.000 0.000
Sb1 Sb 0.000 0.000 0.486
Sb2 Sb 0.500 0.500 0.806
Pt1 Pt 0.500 0.500 0.340

---

Record 4
# PBE-GGA YSbPt6, optimized geometry
# final energy = -6.456 eV/atom
data_YSbPt6
_chemical_formula_sum 'Y1 Sb1 Pt6'
_symmetry_space_group_name_H-M 'P 4/m m m'
_symmetry_Int_Tables_number 123
_symmetry_space_group_name_Hall '-P 4 2'
_cell_length_a 4.103
_cell_length_b 4.103
_cell_length_c 8.214
_cell_angle_alpha 90.00
_cell_angle_beta 90.00
_cell_angle_gamma 90.00
loop_
_atom_site_label
_atom_site_type_symbol
_atom_site_fract_x
_atom_site_fract_y
_atom_site_fract_z
Y1 Y 0.000 0.000 0.000
Sb1 Sb 0.000 0.000 0.500
Pt1 Pt 0.000 0.500 0.255
Pt2 Pt 0.500 0.500 0.000
Pt3 Pt 0.500 0.500 0.500

---

Record 5
# PBE-GGA Y2SbPt, optimized geometry
# final energy = -6.751 eV/atom
data_Y2SbPt
_chemical_formula_sum 'Y2 Sb1 Pt1'
_symmetry_space_group_name_H-M 'P 4/m m m'
_symmetry_Int_Tables_number 123
_symmetry_space_group_name_Hall '-P 4 2'
_cell_length_a 3.660
_cell_length_b 3.660
_cell_length_c 7.279
_cell_angle_alpha 90.00
_cell_angle_beta 90.00
_cell_angle_gamma 90.00
loop_
_atom_site_label
_atom_site_type_symbol
_atom_site_fract_x
_atom_site_fract_y
_atom_site_fract_z
Y1 Y 0.000 0.000 0.229
Sb1 Sb 0.500 0.500 0.500
Pt1 Pt 0.500 0.500 0.000

---

Record 6
# PBE-GGA YSb2Pt2, optimized geometry
# final energy = -5.978 eV/atom
data_YSb2Pt2
_chemical_formula_sum 'Y2 Sb4 Pt4'
_symmetry_space_group_name_H-M 'P 4/m b m'
_symmetry_Int_Tables_number 127
_symmetry_space_group_name_Hall '-P 4 2ab'
_cell_length_a 7.492
_cell_length_b 7.492
_cell_length_c 3.900
_cell_angle_alpha 90.00
_cell_angle_beta 90.00
_cell_angle_gamma 90.00
loop_
_atom_site_label
_atom_site_type_symbol
_atom_site_fract_x
_atom_site_fract_y
_atom_site_fract_z
Y1 Y 0.000 0.000 0.000
Sb1 Sb 0.182 0.318 0.500
Pt1 Pt 0.127 0.627 0.000

---

Record 7
# PBE-GGA Y2SbPt, optimized geometry
# final energy = -6.800 eV/atom
data_Y2SbPt
_chemical_formula_sum 'Y6 Sb3 Pt3'
_symmetry_space_group_name_H-M 'R -3 m'
_symmetry_Int_Tables_number 166
_symmetry_space_group_name_Hall '-R 3 2"'
_cell_length_a 4.2756
_cell_length_b 4.2756
_cell_length_c 20.6036
_cell_angle_alpha 90.00
_cell_angle_beta 90.00
_cell_angle_gamma 120.00
loop_
_atom_site_label
_atom_site_type_symbol
_atom_site_fract_x
_atom_site_fract_y
_atom_site_fract_z
Y1 Y 0.0000 0.0000 0.2419
Sb1 Sb 0.0000 0.0000 0.0000
Pt1 Pt 0.0000 0.0000 0.5000

---

Record 8
# PBE-GGA YSb2Pt7, optimized geometry
# final energy = -6.297 eV/atom
data_YSb2Pt7
_chemical_formula_sum 'Y2 Sb4 Pt14'
_symmetry_space_group_name_H-M 'I 4/m m m'
_symmetry_Int_Tables_number 139
_symmetry_space_group_name_Hall '-I 4 2'
_cell_length_a 4.059
_cell_length_b 4.059
_cell_length_c 23.012
_cell_angle_alpha 90.00
_cell_angle_beta 90.00
_cell_angle_gamma 90.00
loop_
_atom_site_label
_atom_site_type_symbol
_atom_site_fract_x
_atom_site_fract_y
_atom_site_fract_z
Y1 Y 0.000 0.000 0.000
Sb1 Sb 0.000 0.000 0.330
Pt1 Pt 0.000 0.000 0.500
Pt2 Pt 0.000 0.500 0.092
Pt3 Pt 0.000 0.500 0.250

---

What did the second record say?
# PBE-GGA YSb2Pt, optimized geometry
# final energy = -5.626 eV/atom
data_YSb2Pt
_chemical_formula_sum 'Y2 Sb4 Pt2'
_symmetry_space_group_name_H-M 'I 4/m m m'
_symmetry_Int_Tables_number 139
_symmetry_space_group_name_Hall '-I 4 2'
_cell_length_a 4.314
_cell_length_b 4.314
_cell_length_c 10.168
_cell_angle_alpha 90.00
_cell_angle_beta 90.00
_cell_angle_gamma 90.00
loop_
_atom_site_label
_atom_site_type_symbol
_atom_site_fract_x
_atom_site_fract_y
_atom_site_fract_z
Y1 Y 0.000 0.000 0.000
Sb1 Sb 0.000 0.500 0.250
Pt1 Pt 0.000 0.000 0.500